Record 1
Density functional theory data (PBE) for a relaxed structure of Ba12Ga3Hg5.

Properties
Formation enthalpy at 0 K = -137.6 meV per atom
Density of states at the Fermi level = 1.013 states/eV/atom
Total moment = 0.00 Bohr magnetons per cell

Unit cell a=20.0695 b=20.0695 c=20.0695 alpha=90.00 beta=90.00 gamma=90.00
Space group Ia-3d (No. 230)
Inequivalent atoms, fractional coordinates:
Ba: 0.0187 0.0766 0.6511
Ga: 0.0000 0.2500 0.1250
Hg: 0.0000 0.0000 0.0000
Hg: 0.0000 0.2500 0.3750

Record 2
Density functional theory data (PBE) for a relaxed structure of MgIn8Pb6.

Properties
Formation enthalpy at 0 K = 41.3 meV per atom
Density of states at the Fermi level = 0.335 states/eV/atom
Total moment = 0.00 Bohr magnetons per cell

Unit cell a=9.4777 b=9.4777 c=16.9412 alpha=90.00 beta=90.00 gamma=120.00
Space group R-3 (No. 148, hexagonal axes)
Inequivalent atoms, fractional coordinates:
Mg: 0.0000 0.0000 0.0000
In: 0.0000 0.0000 0.2280
In: 0.0491 0.6174 0.5724
Pb: 0.0224 0.8027 0.4108

Record 3
Density functional theory data (PBE) for a relaxed structure of Y2TlNi.

Properties
Formation enthalpy at 0 K = -242.2 meV per atom
Density of states at the Fermi level = 0.769 states/eV/atom
Total moment = 0.00 Bohr magnetons per cell

Unit cell a=3.4676 b=4.8880 c=11.2989 alpha=90.00 beta=90.00 gamma=90.00
Space group Imm2 (No. 44)
Inequivalent atoms, fractional coordinates:
Y: 0.0000 0.0000 0.0000
Y: 0.0000 0.5000 0.2045
Tl: 0.0000 0.0000 0.4002
Ni: 0.0000 0.5000 0.7028

> What is the formation enthalpy at 0 K in the second record?

41.3 meV per atom

> Number 1 is which compound?

Ba12Ga3Hg5

> total moment of number 1 (Ba12Ga3Hg5)?

0.00 Bohr magnetons per cell

> Which of these has the lowest formation enthalpy at 0 K?

Y2TlNi